[1]
NaTa2W: optimized geometry, PBE.

## Properties
The total magnetic moment is 0.8 Bohr magnetons per cell. The energy above the most stable polymorph in this dataset comes out at 288 kJ/mol of formula units. The value obtained for the calculated total energy is -8.04 eV per atom. The crystal system is tetragonal.

Geometry as CIF:
```
data_NaTa2W
_cell_length_a 10.119
_cell_length_b 10.119
_cell_length_c 10.119
_cell_angle_alpha 157.12
_cell_angle_beta 157.12
_cell_angle_gamma 32.57
_space_group_name_H-M_alt 'P 1'
_space_group_IT_number 1
_space_group_name_Hall 'P 1'
loop_
_atom_site_label
_atom_site_fract_x
_atom_site_fract_y
_atom_site_fract_z
Na1 0.000 0.000 0.000
Na2 0.750 0.250 0.500
Ta1 0.143 0.625 0.018
Ta2 0.375 0.393 0.518
Ta3 0.607 0.125 0.982
Ta4 0.875 0.857 0.482
W1 0.250 0.750 0.500
W2 0.500 0.500 0.000
```

---

[2]
Cr2TcSe: optimized geometry, PBE.

## Properties
The total magnetic moment is 3.9 Bohr magnetons per cell. The value obtained for the calculated total energy is -7.86 eV per atom. The uncorrected formation energy comes out at 40 kJ/mol of atoms. The crystal system is tetragonal.

Geometry as CIF:
```
data_Cr2TcSe
_cell_length_a 4.643
_cell_length_b 4.643
_cell_length_c 4.643
_cell_angle_alpha 131.14
_cell_angle_beta 131.14
_cell_angle_gamma 71.58
_space_group_name_H-M_alt 'P 1'
_space_group_IT_number 1
_space_group_name_Hall 'P 1'
loop_
_atom_site_label
_atom_site_fract_x
_atom_site_fract_y
_atom_site_fract_z
Cr1 0.250 0.750 0.500
Cr2 0.750 0.250 0.500
Tc1 0.000 0.000 0.000
Se1 0.500 0.500 0.000
```

---

[3]
PuInPd3: optimized geometry, PBE.

## Properties
The total magnetic moment is 21.2 Bohr magnetons per cell. The value obtained for the calculated total energy is -7.00 eV per atom. The crystal system is monoclinic.

Geometry as CIF:
```
data_PuInPd3
_cell_length_a 7.293
_cell_length_b 5.391
_cell_length_c 10.618
_cell_angle_alpha 90.00
_cell_angle_beta 110.37
_cell_angle_gamma 90.00
_space_group_name_H-M_alt 'P 1'
_space_group_IT_number 1
_space_group_name_Hall 'P 1'
loop_
_atom_site_label
_atom_site_fract_x
_atom_site_fract_y
_atom_site_fract_z
Pu1 0.182 0.162 0.113
Pu2 0.182 0.338 0.613
Pu3 0.818 0.662 0.387
Pu4 0.818 0.838 0.887
In1 0.309 0.638 0.919
In2 0.309 0.862 0.419
In3 0.691 0.138 0.581
In4 0.691 0.362 0.081
Pd1 0.030 0.645 0.191
Pd2 0.030 0.855 0.691
Pd3 0.336 0.131 0.901
Pd4 0.336 0.369 0.401
Pd5 0.407 0.642 0.198
Pd6 0.407 0.858 0.698
Pd7 0.593 0.142 0.302
Pd8 0.593 0.358 0.802
Pd9 0.664 0.631 0.599
Pd10 0.664 0.869 0.099
Pd11 0.970 0.145 0.309
Pd12 0.970 0.355 0.809
```